DFT (SCAN) results for LiYZn4 at its PBEsol-relaxed geometry.

**Theoretical density**: 5.884 g/cm3
**Spin magnetization**: 0.02 μB per cell
**Formation energy from the elements**: -0.34 eV/atom
**Calculated volume**: 16.8 Å³/atom
**Total energy**: -86.3 eV per cell

Lattice parameters (Å, degrees): 5.225 5.225 5.225 60.00 60.00 60.00
Sites, in units of the cell vectors:
Zn 0.375 0.874 0.375
Zn 0.874 0.375 0.375
Y 0.000 0.000 0.000
Li 0.750 0.750 0.750
Zn 0.375 0.375 0.874
Zn 0.375 0.375 0.375

DFT (SCAN) results for AsOs2Rh at its PBEsol-relaxed geometry.

**Theoretical density**: 16.464 g/cm3
**Spin magnetization**: 0.00 μB per cell
**Formation energy from the elements**: 0.16 eV/atom
**Calculated volume**: 14.1 Å³/atom
**Total energy**: -197.1 eV per cell

Lattice parameters (Å, degrees): 2.787 2.787 8.522 80.59 80.59 60.00
Sites, in units of the cell vectors:
Rh 0.504 0.504 0.489
As 0.249 0.249 0.252
Os 0.998 0.998 0.005
Os 0.749 0.749 0.754

DFT (SCAN) results for Be2NbIr2 at its PBEsol-relaxed geometry.

**Theoretical density**: 13.410 g/cm3
**Spin magnetization**: 0.00 μB per cell
**Formation energy from the elements**: -0.66 eV/atom
**Calculated volume**: 12.3 Å³/atom
**Total energy**: -374.7 eV per cell

Lattice parameters (Å, degrees): 2.756 6.671 6.671 90.00 90.00 90.00
Sites, in units of the cell vectors:
Be 0.000 0.118 0.382
Nb 0.000 0.000 0.000
Be 0.000 0.382 0.882
Ir 0.500 0.674 0.826
Be 0.000 0.618 0.118
Ir 0.500 0.826 0.326
Ir 0.500 0.174 0.674
Nb 0.000 0.500 0.500
Be 0.000 0.882 0.618
Ir 0.500 0.326 0.174

DFT (SCAN) results for K3BiAs6Se12 at its PBEsol-relaxed geometry.

**Theoretical density**: 4.652 g/cm3
**Spin magnetization**: 0.00 μB per cell
**Calculated volume**: 28.0 Å³/atom
**Total energy**: -476.5 eV per cell
**Uncorrected formation energy**: -1047.3 kJ/mol of formula units

Lattice parameters (Å, degrees): 7.582 9.680 9.680 120.00 90.00 90.00
Sites, in units of the cell vectors:
K 0.000 0.000 0.000
Se 0.711 0.069 0.283
Se 0.711 0.717 0.786
Se 0.211 0.538 0.629
As 0.610 0.453 0.157
As 0.610 0.703 0.547
K 0.142 0.667 0.333
As 0.390 0.157 0.703
Se 0.211 0.371 0.909
K 0.858 0.333 0.667
As 0.390 0.547 0.843
Se 0.289 0.283 0.214
Bi 0.500 0.000 0.000
As 0.610 0.843 0.297
Se 0.289 0.786 0.069
As 0.390 0.297 0.453
Se 0.789 0.629 0.091
Se 0.289 0.931 0.717
Se 0.211 0.091 0.462
Se 0.789 0.909 0.538
Se 0.789 0.462 0.371
Se 0.711 0.214 0.931

DFT (SCAN) results for CuNiMo2 at its PBEsol-relaxed geometry.

**Theoretical density**: 10.021 g/cm3
**Spin magnetization**: 0.00 μB per cell
**Formation energy from the elements**: 0.18 eV/atom
**Calculated volume**: 13.0 Å³/atom
**Total energy**: -100.4 eV per cell

Lattice parameters (Å, degrees): 3.621 3.621 4.723 112.54 112.54 90.00
Sites, in units of the cell vectors:
Cu 0.000 0.000 0.000
Ni 0.500 0.500 0.000
Mo 0.250 0.750 0.500
Mo 0.750 0.250 0.500

DFT (SCAN) results for Li2InRh at its PBEsol-relaxed geometry.

**Theoretical density**: 6.243 g/cm3
**Spin magnetization**: 0.00 μB per cell
**Formation energy from the elements**: -0.40 eV/atom
**Calculated volume**: 15.4 Å³/atom
**Total energy**: -73.5 eV per cell

Lattice parameters (Å, degrees): 3.105 4.402 5.245 114.65 107.22 90.00
Sites, in units of the cell vectors:
Li 0.231 0.231 0.462
Li 0.769 0.769 0.538
Rh 0.500 0.000 0.000
In 0.000 0.500 0.000

Question: What is the theoretical density in the fifth record?
Answer: 10.021 g/cm3